The following is a meta-GGA SCAN calculation of Al2Ir at its PBEsol-relaxed geometry, from Alexandria.

Computed properties:
crystal system	monoclinic
ΔH_f (0 K)	-891	meV/atom

Cell and atoms, written as POSCAR:
```
Al2Ir
1.0
2.9888 0.0000 0.0000
1.4944 4.5902 0.0185
1.4944 1.7189 6.5684
Al Ir
4 2
direct
0.6538 0.7518 0.9406
0.8918 0.8334 0.3831
0.1082 0.1666 0.6169
0.3462 0.2482 0.0594
0.6388 0.4157 0.3068
0.3612 0.5843 0.6932
```